A relaxed structure of SrY2Cr, computed with PBE.

* crystal system: tetragonal
* symmetry: P4/mmm (123)
* mass density: 4.23 g cm⁻³
* offset from the most stable computed form: 241 meV per atom
* formation energy from the elements: 2.064 eV per formula unit
* size of the total moment: 3.60 μB per cell
* DFT total energy: -5.542 eV per atom

abc: 4.857 4.857 5.282
angles: 90.00 90.00 90.02
Sites, in units of the cell vectors:
Cr 0.500 0.000 0.500
Y 0.500 0.500 0.000
Sr 0.000 0.500 0.500
Y 0.000 0.000 0.000